[1]
DFT (PBE) results for a geometry-optimized KV2PtS8 structure.

Cell and atoms, written as CIF:
```
data_KV2PtS8
_chemical_formula_sum 'K1 V2 Pt1 S8'
_symmetry_space_group_name_H-M 'P 1'
_symmetry_Int_Tables_number 1
_cell_length_a 6.014
_cell_length_b 6.014
_cell_length_c 9.832
_cell_angle_alpha 72.19
_cell_angle_beta 72.19
_cell_angle_gamma 60.00
loop_
_symmetry_equiv_pos_as_xyz
'x,y,z'
loop_
_atom_site_label
_atom_site_type_symbol
_atom_site_fract_x
_atom_site_fract_y
_atom_site_fract_z
K1 K 0.500 0.500 0.500
S1 S 0.183 0.183 0.450
S2 S 0.063 0.365 0.845
S3 S 0.365 0.727 0.845
S4 S 0.727 0.063 0.845
S5 S 0.937 0.635 0.155
V1 V 0.740 0.740 0.781
S6 S 0.273 0.937 0.155
Pt1 Pt 0.000 0.000 0.000
S7 S 0.817 0.817 0.550
V2 V 0.260 0.260 0.219
S8 S 0.635 0.273 0.155
```

Output
space group	R-3 (148)
density of states at the Fermi level	11.75	states/eV/cell
raw formation energy	-0.463	eV/atom
volume	24.01	Å³/atom

[2]
DFT (PBE) results for a geometry-optimized KV2PtS structure.

Cell and atoms, written as CIF:
```
data_KV2PtS
_chemical_formula_sum 'K1 V2 Pt1 S1'
_symmetry_space_group_name_H-M 'P 1'
_symmetry_Int_Tables_number 1
_cell_length_a 4.345
_cell_length_b 5.351
_cell_length_c 4.345
_cell_angle_alpha 90.00
_cell_angle_beta 90.00
_cell_angle_gamma 90.00
loop_
_symmetry_equiv_pos_as_xyz
'x,y,z'
loop_
_atom_site_label
_atom_site_type_symbol
_atom_site_fract_x
_atom_site_fract_y
_atom_site_fract_z
V1 V 0.500 0.000 0.000
V2 V 0.000 0.000 0.500
K1 K 0.000 0.500 0.000
Pt1 Pt 0.500 0.500 0.500
S1 S 0.000 0.000 0.000
```

Output
space group	P4/mmm (123)
density of states at the Fermi level	5.92	states/eV/cell
raw formation energy	0.544	eV/atom
volume	20.20	Å³/atom

[3]
DFT (PBE) results for a geometry-optimized KYPtS2 structure.

Cell and atoms, written as CIF:
```
data_KYPtS2
_chemical_formula_sum 'K1 Y1 Pt1 S2'
_symmetry_space_group_name_H-M 'P 1'
_symmetry_Int_Tables_number 1
_cell_length_a 5.319
_cell_length_b 5.369
_cell_length_c 5.319
_cell_angle_alpha 90.00
_cell_angle_beta 90.00
_cell_angle_gamma 90.00
loop_
_symmetry_equiv_pos_as_xyz
'x,y,z'
loop_
_atom_site_label
_atom_site_type_symbol
_atom_site_fract_x
_atom_site_fract_y
_atom_site_fract_z
S1 S 0.000 0.000 0.500
K1 K 0.500 0.500 0.500
Pt1 Pt 0.000 0.500 0.000
Y1 Y 0.000 0.000 0.000
S2 S 0.500 0.000 0.000
```

Output
space group	P4/mmm (123)
density of states at the Fermi level	6.19	states/eV/cell
raw formation energy	-0.512	eV/atom
volume	30.38	Å³/atom

[4]
DFT (PBE) results for a geometry-optimized K2ZrPtS4 structure.

Cell and atoms, written as CIF:
```
data_K2ZrPtS4
_chemical_formula_sum 'K2 Zr1 Pt1 S4'
_symmetry_space_group_name_H-M 'P 1'
_symmetry_Int_Tables_number 1
_cell_length_a 6.509
_cell_length_b 6.509
_cell_length_c 6.509
_cell_angle_alpha 106.59
_cell_angle_beta 110.93
_cell_angle_gamma 110.93
loop_
_symmetry_equiv_pos_as_xyz
'x,y,z'
loop_
_atom_site_label
_atom_site_type_symbol
_atom_site_fract_x
_atom_site_fract_y
_atom_site_fract_z
S1 S 0.422 0.842 0.719
S2 S 0.123 0.281 0.703
S3 S 0.578 0.297 0.420
Zr1 Zr 0.500 0.250 0.750
K1 K 0.500 0.750 0.250
K2 K 0.000 0.000 0.000
Pt1 Pt 0.000 0.500 0.500
S4 S 0.877 0.580 0.158
```

Output
space group	I-4 (82)
density of states at the Fermi level	0.56	states/eV/cell
raw formation energy	-1.041	eV/atom
volume	26.49	Å³/atom

[5]
DFT (PBE) results for a geometry-optimized KSb2Pt structure.

Cell and atoms, written as CIF:
```
data_KSb2Pt
_chemical_formula_sum 'K1 Sb2 Pt1'
_symmetry_space_group_name_H-M 'P 1'
_symmetry_Int_Tables_number 1
_cell_length_a 5.808
_cell_length_b 5.808
_cell_length_c 3.136
_cell_angle_alpha 89.88
_cell_angle_beta 89.88
_cell_angle_gamma 113.38
loop_
_symmetry_equiv_pos_as_xyz
'x,y,z'
loop_
_atom_site_label
_atom_site_type_symbol
_atom_site_fract_x
_atom_site_fract_y
_atom_site_fract_z
K1 K 0.500 0.000 0.500
Pt1 Pt 0.000 0.500 0.500
Sb1 Sb 0.500 0.500 0.000
Sb2 Sb 0.000 0.000 0.000
```

Output
space group	C2/m (12)
density of states at the Fermi level	1.46	states/eV/cell
raw formation energy	0.126	eV/atom
energy above the lowest structure with this stoichiometry	614	meV/atom
volume	24.28	Å³/atom

[6]
DFT (PBE) results for a geometry-optimized KSb2Pt structure.

Cell and atoms, written as CIF:
```
data_KSb2Pt
_chemical_formula_sum 'K1 Sb2 Pt1'
_symmetry_space_group_name_H-M 'P 1'
_symmetry_Int_Tables_number 1
_cell_length_a 4.376
_cell_length_b 5.110
_cell_length_c 6.056
_cell_angle_alpha 77.97
_cell_angle_beta 90.00
_cell_angle_gamma 90.00
loop_
_symmetry_equiv_pos_as_xyz
'x,y,z'
loop_
_atom_site_label
_atom_site_type_symbol
_atom_site_fract_x
_atom_site_fract_y
_atom_site_fract_z
K1 K 0.000 0.596 0.477
Sb1 Sb 0.000 0.992 0.875
Pt1 Pt 0.500 0.713 0.006
Sb2 Sb 0.500 0.199 0.142
```

Output
space group	Pm (6)
density of states at the Fermi level	1.04	states/eV/cell
raw formation energy	-0.275	eV/atom
energy above the lowest structure with this stoichiometry	214	meV/atom
volume	33.11	Å³/atom

[7]
DFT (PBE) results for a geometry-optimized KSb2Pt structure.

Cell and atoms, written as CIF:
```
data_KSb2Pt
_chemical_formula_sum 'K1 Sb2 Pt1'
_symmetry_space_group_name_H-M 'P 1'
_symmetry_Int_Tables_number 1
_cell_length_a 3.520
_cell_length_b 3.798
_cell_length_c 7.970
_cell_angle_alpha 90.00
_cell_angle_beta 90.00
_cell_angle_gamma 90.00
loop_
_symmetry_equiv_pos_as_xyz
'x,y,z'
loop_
_atom_site_label
_atom_site_type_symbol
_atom_site_fract_x
_atom_site_fract_y
_atom_site_fract_z
Sb1 Sb 0.000 0.000 0.926
K1 K 0.500 0.500 0.250
Pt1 Pt 0.500 0.500 0.750
Sb2 Sb 0.000 0.000 0.574
```

Output
space group	Pmmm (47)
density of states at the Fermi level	1.41	states/eV/cell
raw formation energy	-0.187	eV/atom
energy above the lowest structure with this stoichiometry	302	meV/atom
volume	26.63	Å³/atom

[8]
DFT (PBE) results for a geometry-optimized KSb4Pt4 structure.

Cell and atoms, written as CIF:
```
data_KSb4Pt4
_chemical_formula_sum 'K2 Sb8 Pt8'
_symmetry_space_group_name_H-M 'P 1'
_symmetry_Int_Tables_number 1
_cell_length_a 5.439
_cell_length_b 9.115
_cell_length_c 9.115
_cell_angle_alpha 90.00
_cell_angle_beta 90.00
_cell_angle_gamma 90.00
loop_
_symmetry_equiv_pos_as_xyz
'x,y,z'
loop_
_atom_site_label
_atom_site_type_symbol
_atom_site_fract_x
_atom_site_fract_y
_atom_site_fract_z
Sb1 Sb 0.916 0.630 0.865
K1 K 0.000 0.000 0.000
Sb2 Sb 0.584 0.870 0.635
Sb3 Sb 0.084 0.865 0.370
Pt1 Pt 0.924 0.334 0.832
Sb4 Sb 0.084 0.135 0.630
Pt2 Pt 0.576 0.166 0.668
Pt3 Pt 0.424 0.332 0.166
Pt4 Pt 0.576 0.834 0.332
Sb5 Sb 0.416 0.635 0.130
Pt5 Pt 0.076 0.832 0.666
Pt6 Pt 0.076 0.168 0.334
K2 K 0.500 0.500 0.500
Pt7 Pt 0.924 0.666 0.168
Sb6 Sb 0.584 0.130 0.365
Sb7 Sb 0.416 0.365 0.870
Sb8 Sb 0.916 0.370 0.135
Pt8 Pt 0.424 0.668 0.834
```

Output
space group	P4_2/n (86)
density of states at the Fermi level	10.55	states/eV/cell
raw formation energy	-0.397	eV/atom
volume	25.11	Å³/atom

[9]
DFT (PBE) results for a geometry-optimized KSb2Pt structure.

Cell and atoms, written as CIF:
```
data_KSb2Pt
_chemical_formula_sum 'K1 Sb2 Pt1'
_symmetry_space_group_name_H-M 'P 1'
_symmetry_Int_Tables_number 1
_cell_length_a 4.621
_cell_length_b 4.624
_cell_length_c 4.502
_cell_angle_alpha 90.00
_cell_angle_beta 90.00
_cell_angle_gamma 90.00
loop_
_symmetry_equiv_pos_as_xyz
'x,y,z'
loop_
_atom_site_label
_atom_site_type_symbol
_atom_site_fract_x
_atom_site_fract_y
_atom_site_fract_z
Sb1 Sb 0.500 0.500 0.000
Pt1 Pt 0.000 0.500 0.500
Sb2 Sb 0.000 0.000 0.000
K1 K 0.500 0.000 0.500
```

Output
space group	P4/mmm (123)
density of states at the Fermi level	0.92	states/eV/cell
raw formation energy	0.071	eV/atom
energy above the lowest structure with this stoichiometry	559	meV/atom
volume	24.05	Å³/atom

[10]
DFT (PBE) results for a geometry-optimized KSb2Pt structure.

Cell and atoms, written as CIF:
```
data_KSb2Pt
_chemical_formula_sum 'K1 Sb2 Pt1'
_symmetry_space_group_name_H-M 'P 1'
_symmetry_Int_Tables_number 1
_cell_length_a 5.681
_cell_length_b 5.681
_cell_length_c 5.681
_cell_angle_alpha 132.72
_cell_angle_beta 132.72
_cell_angle_gamma 69.09
loop_
_symmetry_equiv_pos_as_xyz
'x,y,z'
loop_
_atom_site_label
_atom_site_type_symbol
_atom_site_fract_x
_atom_site_fract_y
_atom_site_fract_z
Pt1 Pt 0.750 0.250 0.500
Sb1 Sb 0.250 0.750 0.500
Sb2 Sb 0.000 0.000 0.000
K1 K 0.500 0.500 0.000
```

Output
space group	I-4m2 (119)
density of states at the Fermi level	2.07	states/eV/cell
raw formation energy	0.114	eV/atom
energy above the lowest structure with this stoichiometry	603	meV/atom
volume	24.28	Å³/atom

[11]
DFT (PBE) results for a geometry-optimized KSb2Pt structure.

Cell and atoms, written as CIF:
```
data_KSb2Pt
_chemical_formula_sum 'K1 Sb2 Pt1'
_symmetry_space_group_name_H-M 'P 1'
_symmetry_Int_Tables_number 1
_cell_length_a 4.266
_cell_length_b 4.266
_cell_length_c 7.958
_cell_angle_alpha 74.37
_cell_angle_beta 74.37
_cell_angle_gamma 59.88
loop_
_symmetry_equiv_pos_as_xyz
'x,y,z'
loop_
_atom_site_label
_atom_site_type_symbol
_atom_site_fract_x
_atom_site_fract_y
_atom_site_fract_z
Sb1 Sb 0.718 0.718 0.846
Pt1 Pt 0.332 0.332 0.002
K1 K 0.502 0.502 0.496
Sb2 Sb 0.948 0.948 0.156
```

Output
space group	Cm (8)
density of states at the Fermi level	1.36	states/eV/cell
raw formation energy	-0.488	eV/atom
energy above the lowest structure with this stoichiometry	0	meV/atom
volume	29.76	Å³/atom

[12]
DFT (PBE) results for a geometry-optimized KSb2Pt structure.

Cell and atoms, written as CIF:
```
data_KSb2Pt
_chemical_formula_sum 'K1 Sb2 Pt1'
_symmetry_space_group_name_H-M 'P 1'
_symmetry_Int_Tables_number 1
_cell_length_a 3.379
_cell_length_b 3.379
_cell_length_c 9.596
_cell_angle_alpha 90.00
_cell_angle_beta 90.00
_cell_angle_gamma 90.00
loop_
_symmetry_equiv_pos_as_xyz
'x,y,z'
loop_
_atom_site_label
_atom_site_type_symbol
_atom_site_fract_x
_atom_site_fract_y
_atom_site_fract_z
Sb1 Sb 0.000 0.000 0.934
K1 K 0.000 0.000 0.531
Sb2 Sb 0.500 0.500 0.237
Pt1 Pt 0.500 0.500 0.798
```

Output
space group	P4mm (99)
density of states at the Fermi level	2.35	states/eV/cell
raw formation energy	-0.086	eV/atom
energy above the lowest structure with this stoichiometry	402	meV/atom
volume	27.39	Å³/atom

Number 1: E_tot -64.0 eV/cell. Number 2: E_tot -26.8 eV/cell. Number 3: E_tot -24.4 eV/cell. Number 4: E_tot -41.6 eV/cell. Number 5: E_tot -14.9 eV/cell. Number 6: E_tot -16.5 eV/cell. Number 7: E_tot -16.1 eV/cell. Number 8: E_tot -90.7 eV/cell. Number 9: E_tot -15.1 eV/cell. Number 10: E_tot -14.9 eV/cell. Number 11: E_tot -17.3 eV/cell. Number 12: E_tot -15.7 eV/cell.